The following is a PBE calculation of a geometry-optimized Ho3Ti structure, from the Alexandria database.

Values from the calculation:
Symmetry: No. 139
Energy of formation from the pure elements (eV/atom): 0.1979

Lattice parameters (Å, degrees): 4.7837 4.7837 9.4789 90.00 90.00 90.00
Element x y z (fractional)
Ho 0.0000 0.0000 0.0000
Ho 0.0000 0.5000 0.2500
Ho 0.0000 0.5000 0.7500
Ho 0.5000 0.0000 0.2500
Ho 0.5000 0.0000 0.7500
Ho 0.5000 0.5000 0.5000
Ti 0.0000 0.0000 0.5000
Ti 0.5000 0.5000 0.0000